(1)
VASP calculation (PBE) on a relaxed structure of Ge3Rh2.

Cell: 6.0197 6.0197 6.7527 Å, 63.53 63.53 60.00°
Last column: nearest neighbours and their distance in Å.
Fractional positions:
1 Ge 0.4005 0.0995 0.7500  4 Rh 2.45-2.54
2 Ge 0.5995 0.9005 0.2500  4 Rh 2.45-2.54
3 Ge 0.7500 0.4005 0.7500  4 Rh 2.45-2.54
4 Ge 0.2500 0.5995 0.2500  4 Rh 2.45-2.54
5 Ge 0.0995 0.7500 0.7500  4 Rh 2.45-2.54
6 Ge 0.9005 0.2500 0.2500  4 Rh 2.45-2.54
7 Rh 0.6679 0.6679 0.9964  6 Ge 2.45-2.54
8 Rh 0.3321 0.3321 0.0036  6 Ge 2.45-2.54
9 Rh 0.1679 0.1679 0.4964  6 Ge 2.45-2.54
10 Rh 0.8321 0.8321 0.5036  6 Ge 2.45-2.54

Calculated values
Relative energy among the computed polymorphs: 0.1080 eV/atom
DFT total energy: -6.03 eV per atom
M_tot: 0.00 μB per formula unit
Formation energy: -0.31 eV/atom


(2)
VASP calculation (PBE) on a relaxed structure of GeRh7.

Cell: 5.4321 5.4321 5.4321 Å, 60.00 60.00 60.00°
Last column: nearest neighbours and their distance in Å.
Fractional positions:
1 Rh 0.0000 0.5000 0.0000  10 Rh 2.72, 2 Ge 2.72
2 Rh 0.5000 0.0000 0.0000  10 Rh 2.72, 2 Ge 2.72
3 Rh 0.0000 0.0000 0.5000  10 Rh 2.72, 2 Ge 2.72
4 Rh 0.0000 0.5000 0.5000  10 Rh 2.72, 2 Ge 2.72
5 Rh 0.5000 0.5000 0.5000  12 Rh 2.72
6 Rh 0.5000 0.0000 0.5000  2 Ge 2.72, 10 Rh 2.72
7 Rh 0.5000 0.5000 0.0000  10 Rh 2.72, 2 Ge 2.72
8 Ge 0.0000 0.0000 0.0000  12 Rh 2.72

Calculated values
DFT total energy: -7.16 eV per atom
M_tot: 0.00 μB per formula unit
Formation energy: -0.15 eV/atom


(3)
VASP calculation (PBE) on a relaxed structure of GeRh5.

Cell: 3.8754 3.8565 6.0225 Å, 108.67 90.00 90.00°
Last column: nearest neighbours and their distance in Å.
Fractional positions:
1 Ge 0.0000 0.0000 0.0000  12 Rh 2.69-2.73
2 Rh 0.5000 0.8335 0.6671  10 Rh 2.71-2.73, 2 Ge 2.71
3 Rh 0.0000 0.3352 0.6705  2 Ge 2.69, 10 Rh 2.70-2.74
4 Rh 0.5000 0.5000 0.0000  8 Rh 2.70-2.71, 4 Ge 2.73
5 Rh 0.5000 0.1665 0.3329  10 Rh 2.71-2.73, 2 Ge 2.71
6 Rh 0.0000 0.6648 0.3295  2 Ge 2.69, 10 Rh 2.70-2.74

Calculated values
DFT total energy: -7.04 eV per atom
M_tot: 0.00 μB per formula unit
Formation energy: -0.14 eV/atom


(4)
VASP calculation (PBE) on a relaxed structure of GeRh4.

Cell: 4.4942 4.4942 4.4942 Å, 90.00 90.00 90.00°
Last column: nearest neighbours and their distance in Å.
Fractional positions:
1 Ge 0.5000 0.5000 0.5000  6 Rh 2.25
2 Rh 0.0000 0.5000 0.5000  2 Ge 2.25
3 Rh 0.5000 0.0000 0.5000  2 Ge 2.25
4 Rh 0.5000 0.5000 0.0000  2 Ge 2.25
5 Rh 0.0000 0.0000 0.0000  12 Rh 3.18

Calculated values
DFT total energy: -5.94 eV per atom
M_tot: 3.29 μB per formula unit
Formation energy: 0.87 eV/atom


(5)
VASP calculation (PBE) on a relaxed structure of Ge6Rh5.

Cell: 6.8441 6.0502 5.3488 Å, 80.18 72.45 55.56°
Last column: nearest neighbours and their distance in Å.
Fractional positions:
1 Ge 0.0640 0.2905 0.7875  5 Rh 2.49-2.57
2 Ge 0.6456 0.2905 0.2125  5 Rh 2.49-2.57
3 Ge 0.2022 0.0000 0.2869  5 Rh 2.61-2.62
4 Ge 0.9360 0.7095 0.2125  5 Rh 2.49-2.57
5 Ge 0.7978 0.0000 0.7131  5 Rh 2.61-2.62
6 Ge 0.3544 0.7095 0.7875  5 Rh 2.49-2.57
7 Rh 0.5000 0.0000 0.5000  6 Ge 2.57-2.62, 2 Rh 2.85
8 Rh 0.2139 0.5722 0.5000  6 Ge 2.49-2.61
9 Rh 0.7861 0.4278 0.5000  6 Ge 2.49-2.61
10 Rh 0.3508 0.2983 0.0000  6 Ge 2.56-2.61
11 Rh 0.6492 0.7017 0.0000  6 Ge 2.56-2.61

Calculated values
DFT total energy: -6.13 eV per atom
M_tot: 0.00 μB per formula unit
Formation energy: -0.26 eV/atom


(6)
VASP calculation (PBE) on a relaxed structure of GeRh8.

Cell: 3.8572 6.0758 6.0758 Å, 84.22 71.49 71.49°
Last column: nearest neighbours and their distance in Å.
Fractional positions:
1 Ge 0.0000 0.0000 0.0000  12 Rh 2.71-2.72
2 Rh 0.6669 0.3331 0.3331  1 Ge 2.71, 11 Rh 2.72
3 Rh 0.0000 0.6669 0.3331  1 Ge 2.71, 11 Rh 2.72
4 Rh 0.3335 0.3330 0.0000  10 Rh 2.71-2.72, 2 Ge 2.72
5 Rh 0.3331 0.6669 0.6669  1 Ge 2.71, 11 Rh 2.72
6 Rh 0.6665 0.0000 0.6670  10 Rh 2.71-2.72, 2 Ge 2.72
7 Rh 0.3335 0.0000 0.3330  10 Rh 2.71-2.72, 2 Ge 2.72
8 Rh 0.0000 0.3331 0.6669  1 Ge 2.71, 11 Rh 2.72
9 Rh 0.6665 0.6670 0.0000  10 Rh 2.71-2.72, 2 Ge 2.72

Calculated values
DFT total energy: -7.11 eV per atom
M_tot: 0.00 μB per formula unit
Formation energy: -0.06 eV/atom


Number 2 is which compound? GeRh7


Number 1 is which compound? Ge3Rh2